Entry 1:
VASP calculation (PBE) on Ti3PdF after structural relaxation.

a = 4.8509 Å, b = 4.8509 Å, c = 4.8509 Å
α = 90.00°, β = 90.00°, γ = 90.00°
Each line ends with the local moment (μB).
Atoms (fractional coordinates):
Ti 0.0000 0.0000 0.5000  0.64
Ti 0.0000 0.5000 0.0000  0.75
Ti 0.5000 0.0000 0.0000  1.11
F 0.5000 0.5000 0.5000  0.03
Pd 0.0000 0.0000 0.0000  -0.04

Properties
VASP energy, eV/atom: -5.76
Uncorrected formation energy, eV per atom: 0.394

Entry 2:
VASP calculation (PBE) on Ti2PdF after structural relaxation.

a = 4.8003 Å, b = 4.8003 Å, c = 6.8234 Å
α = 69.41°, β = 69.41°, γ = 90.00°
Atoms (fractional coordinates):
Ti 0.2111 0.6250 0.2500
Ti 0.3750 0.4611 0.7500
Ti 0.5389 0.1250 0.2500
Ti 0.8750 0.7889 0.7500
F 0.2500 0.7500 0.5000
F 0.5000 0.5000 0.0000
Pd 0.7500 0.2500 0.5000
Pd 0.0000 0.0000 0.0000

Properties
VASP energy, eV/atom: -6.43
ΔE to the lowest computed polymorph, meV per atom: 0
Uncorrected formation energy, eV per atom: -0.716

Entry 3:
VASP calculation (PBE) on Ti2PdF after structural relaxation.

a = 4.3767 Å, b = 4.3767 Å, c = 4.3767 Å
α = 60.00°, β = 60.00°, γ = 60.00°
Atoms (fractional coordinates):
Ti 0.7500 0.7500 0.7500
Ti 0.2500 0.2500 0.2500
Pd 0.5000 0.5000 0.5000
F 0.0000 0.0000 0.0000

Properties
VASP energy, eV/atom: -6.37
ΔE to the lowest computed polymorph, meV per atom: 56
Uncorrected formation energy, eV per atom: -0.660

Entry 4:
VASP calculation (PBE) on Ti2PdF8 after structural relaxation.

a = 5.1175 Å, b = 6.0383 Å, c = 6.0383 Å
α = 62.68°, β = 99.82°, γ = 99.82°
Each line ends with the local moment (μB).
Atoms (fractional coordinates):
F 0.3074 0.8873 0.8873  0.01
F 0.3407 0.8592 0.4451  0.00
F 0.1750 0.3112 0.3112  0.00
F 0.6593 0.5549 0.1408  0.00
F 0.8250 0.6888 0.6888  0.00
F 0.6926 0.1127 0.1127  0.01
F 0.3407 0.4451 0.8592  0.00
F 0.6593 0.1408 0.5549  0.00
Pd 0.0000 0.0000 0.0000  0.16
Ti 0.5546 0.7750 0.7750  -0.08
Ti 0.4454 0.2250 0.2250  -0.08

Properties
VASP energy, eV/atom: -6.03
Uncorrected formation energy, eV per atom: -2.760

Entry 5:
VASP calculation (PBE) on TiTlPdF6 after structural relaxation.

a = 6.0641 Å, b = 6.0042 Å, c = 5.3921 Å
α = 91.36°, β = 92.50°, γ = 59.59°
Each line ends with the local moment (μB).
Atoms (fractional coordinates):
F 0.3700 0.5996 0.3384  0.04
F 0.1004 0.3628 0.2419  0.01
F 0.3061 0.0765 0.6651  0.00
F 0.5409 0.3562 0.7563  0.01
F 0.0319 0.6018 0.6635  0.03
F 0.6140 0.0737 0.3309  0.00
Tl 0.0079 0.9854 0.0022  0.00
Ti 0.3360 0.3275 0.4995  0.01
Pd 0.6925 0.6165 0.5021  0.82

Properties
VASP energy, eV/atom: -5.37
Uncorrected formation energy, eV per atom: -2.403

Entry 6:
VASP calculation (PBE) on YTi2PdF after structural relaxation.

a = 5.0054 Å, b = 4.3496 Å, c = 5.0054 Å
α = 90.00°, β = 90.00°, γ = 90.00°
Each line ends with the local moment (μB).
Atoms (fractional coordinates):
Y 0.5000 0.5000 0.5000  0.31
F 0.0000 0.5000 0.0000  0.01
Ti 0.5000 0.0000 0.0000  1.42
Ti 0.0000 0.0000 0.5000  1.05
Pd 0.0000 0.0000 0.0000  0.04

Properties
VASP energy, eV/atom: -5.71
Uncorrected formation energy, eV per atom: 0.158

Entry 7:
VASP calculation (PBE) on Tl2PdF4 after structural relaxation.

a = 3.7801 Å, b = 6.3693 Å, c = 6.3693 Å
α = 90.00°, β = 90.00°, γ = 90.00°
Atoms (fractional coordinates):
F 0.0000 0.7776 0.2224
F 0.0000 0.2224 0.7776
F 0.0000 0.7776 0.7776
F 0.0000 0.2224 0.2224
Tl 0.5000 0.0000 0.5000
Tl 0.5000 0.5000 0.0000
Pd 0.0000 0.0000 0.0000

Properties
VASP energy, eV/atom: -4.06
Uncorrected formation energy, eV per atom: -1.574

Entry 8:
VASP calculation (PBE) on Tl2PdF6 after structural relaxation.

a = 6.1968 Å, b = 6.1968 Å, c = 6.1968 Å
α = 60.00°, β = 60.00°, γ = 60.00°
Atoms (fractional coordinates):
F 0.7770 0.2230 0.2230
F 0.7770 0.7770 0.2230
F 0.2230 0.7770 0.2230
F 0.2230 0.7770 0.7770
F 0.2230 0.2230 0.7770
F 0.7770 0.2230 0.7770
Pd 0.0000 0.0000 0.0000
Tl 0.2500 0.2500 0.2500
Tl 0.7500 0.7500 0.7500

Properties
VASP energy, eV/atom: -3.98
Uncorrected formation energy, eV per atom: -1.628